# 1
Cd2BiAu2 | GGA-PBE | optimized geometry

- ΔE to the lowest computed polymorph: 0.21 eV per formula unit
- Total moment: 0.00 μB/f.u.

a b c (Å): 7.3637 7.3637 7.3637
angles (deg): 147.43 147.43 46.73
Atoms (fractional coordinates):
Cd 0.2500 0.7500 0.5000
Cd 0.7500 0.2500 0.5000
Bi 0.0000 0.0000 0.0000
Au 0.3981 0.3981 0.0000
Au 0.6019 0.6019 0.0000



# 2
Cd2BiAu2 | GGA-PBE | optimized geometry

- ΔE to the lowest computed polymorph: 0.29 eV per formula unit
- Total moment: 0.00 μB/f.u.

a b c (Å): 8.3950 8.3950 3.1539
angles (deg): 90.00 90.00 90.00
Atoms (fractional coordinates):
Cd 0.1291 0.3709 0.0000
Cd 0.3709 0.8709 0.0000
Cd 0.6291 0.1291 0.0000
Cd 0.8709 0.6291 0.0000
Bi 0.0000 0.0000 0.0000
Bi 0.5000 0.5000 0.0000
Au 0.1671 0.6671 0.5000
Au 0.3329 0.1671 0.5000
Au 0.6671 0.8329 0.5000
Au 0.8329 0.3329 0.5000